Entry 1:
The following is a PBE-GGA calculation of As2Pd6Se after structural relaxation, from the Alexandria database.

Output
magnetization: 0.00 μB/atom
raw total energy: -46.48 eV per formula unit
mass density: 9.63 g/cm3
ΔE_f (raw): -0.28 eV/atom

Cell lengths 4.7505, 4.7505, 9.0795 Å; angles 94.16, 94.16, 47.09 degrees
Closest atoms and distances in Å follow each position.
Atoms (fractional coordinates):
As  0.2312  0.2312  0.2897  8 Pd 2.54-2.63
As  0.7688  0.7688  0.7103  8 Pd 2.54-2.63
Pd  0.1489  0.1489  0.5553  3 As 2.54-2.57, 3 Pd 2.71-2.83
Pd  0.1926  0.1926  0.8804  2 As 2.57, 3 Se 2.81
Pd  0.4658  0.4658  0.7017  3 As 2.56-2.63, 1 Se 2.70, 2 Pd 2.87
Pd  0.5342  0.5342  0.2983  3 As 2.56-2.63, 1 Se 2.70, 2 Pd 2.87
Pd  0.8074  0.8074  0.1196  2 As 2.57, 3 Se 2.81
Pd  0.8511  0.8511  0.4447  3 As 2.54-2.57, 3 Pd 2.71-2.83
Se  0.5000  0.5000  0.0000  8 Pd 2.70-2.81

---

Entry 2:
The following is a PBE-GGA calculation of AsPd8Se2 after structural relaxation, from the Alexandria database.

Output
magnetization: 0.00 μB/atom
energy relative to the lowest polymorph listed for this composition: 0.0 kJ/mol of atoms
raw total energy: -55.55 eV per formula unit
mass density: 10.07 g/cm3
ΔE_f (raw): -0.22 eV/atom

Cell lengths 7.4929, 7.4929, 6.3977 Å; angles 112.84, 112.84, 32.98 degrees
Closest atoms and distances in Å follow each position.
Atoms (fractional coordinates):
As  0.0000  0.0000  0.0000  8 Pd 2.56-2.61
Pd  0.0861  0.0861  0.4398  1 As 2.57, 2 Se 2.59, 3 Pd 2.81-2.87
Pd  0.1730  0.1730  0.9572  3 Se 2.52-2.81, 1 As 2.61, 2 Pd 2.81
Pd  0.3101  0.3101  0.7037  1 Se 2.50
Pd  0.4665  0.4665  0.1805  1 Se 2.54, 2 As 2.56, 5 Pd 2.81-2.84
Pd  0.5335  0.5335  0.8195  1 Se 2.54, 2 As 2.56, 5 Pd 2.81-2.84
Pd  0.6899  0.6899  0.2963  1 Se 2.50
Pd  0.8270  0.8270  0.0428  3 Se 2.52-2.81, 1 As 2.61, 2 Pd 2.81
Pd  0.9139  0.9139  0.5602  1 As 2.57, 2 Se 2.59, 3 Pd 2.81-2.87
Se  0.3280  0.3280  0.3311  5 Pd 2.50-2.59
Se  0.6720  0.6720  0.6689  5 Pd 2.50-2.59

---

Entry 3:
The following is a PBE-GGA calculation of AsPd8Se2 after structural relaxation, from the Alexandria database.

Output
magnetization: 0.00 μB/atom
energy relative to the lowest polymorph listed for this composition: 6.4 kJ/mol of atoms
raw total energy: -54.82 eV per formula unit
mass density: 9.54 g/cm3
ΔE_f (raw): -0.15 eV/atom

Cell lengths 6.7737, 6.7737, 4.8469 Å; angles 93.40, 93.40, 121.26 degrees
Closest atoms and distances in Å follow each position.
Atoms (fractional coordinates):
As  0.0000  0.0000  0.0000  6 Pd 2.46-2.51
Pd  0.0587  0.2903  0.6805  1 As 2.46, 2 Se 2.57-2.70, 2 Pd 2.73
Pd  0.2791  0.7209  0.0000  2 Se 2.46
Pd  0.2903  0.0587  0.6805  1 As 2.46, 2 Se 2.57-2.70, 2 Pd 2.73
Pd  0.3639  0.3639  0.2150  1 As 2.51, 2 Se 2.70
Pd  0.6361  0.6361  0.7850  1 As 2.51, 2 Se 2.70
Pd  0.7097  0.9413  0.3195  1 As 2.46, 2 Se 2.57-2.70, 2 Pd 2.73
Pd  0.7209  0.2791  0.0000  2 Se 2.46
Pd  0.9413  0.7097  0.3195  1 As 2.46, 2 Se 2.57-2.70, 2 Pd 2.73
Se  0.3134  0.6866  0.5000  8 Pd 2.46-2.70
Se  0.6866  0.3134  0.5000  8 Pd 2.46-2.70

---

Entry 4:
The following is a PBE-GGA calculation of AsPd2Se after structural relaxation, from the Alexandria database.

Output
magnetization: 0.00 μB/atom
raw total energy: -19.25 eV per formula unit
mass density: 8.35 g/cm3
ΔE_f (raw): -0.18 eV/atom

Cell lengths 6.1611, 6.1611, 6.1611 Å; angles 36.19, 36.19, 36.19 degrees
Closest atoms and distances in Å follow each position.
Atoms (fractional coordinates):
As  0.0000  0.0000  0.0000  6 Pd 2.55
Pd  0.2597  0.2597  0.2597  3 As 2.55, 3 Se 2.73
Pd  0.7403  0.7403  0.7403  3 As 2.55, 3 Se 2.73
Se  0.5000  0.5000  0.5000  6 Pd 2.73

---

Entry 5:
The following is a PBE-GGA calculation of AsPd2Se after structural relaxation, from the Alexandria database.

Output
magnetization: 0.00 μB/atom
raw total energy: -19.20 eV per formula unit
mass density: 8.20 g/cm3
ΔE_f (raw): -0.17 eV/atom

Cell lengths 5.6199, 5.6199, 5.6199 Å; angles 42.80, 42.80, 42.80 degrees
Closest atoms and distances in Å follow each position.
Atoms (fractional coordinates):
As  0.0000  0.0000  0.0000  6 Pd 2.57-2.58, 1 Se 2.64
Pd  0.3995  0.3995  0.3995  3 As 2.57, 3 Se 2.77
Pd  0.5999  0.5999  0.5999  3 As 2.58, 3 Se 2.87
Se  0.8274  0.8274  0.8274  1 As 2.64, 6 Pd 2.77-2.87

---

Entry 6:
The following is a PBE-GGA calculation of AsPd2Se3 after structural relaxation, from the Alexandria database.

Output
magnetization: 0.00 μB/atom
raw total energy: -26.91 eV per formula unit
mass density: 7.17 g/cm3
ΔE_f (raw): -0.24 eV/atom

Cell lengths 7.7893, 7.7893, 4.7375 Å; angles 92.41, 92.41, 57.76 degrees
Closest atoms and distances in Å follow each position.
Atoms (fractional coordinates):
As  0.1486  0.1486  0.1919  3 Pd 2.55-2.72, 2 Se 2.70
As  0.8514  0.8514  0.8081  3 Pd 2.55-2.72, 2 Se 2.70
Pd  0.0000  0.0000  0.5000  4 Se 2.52, 2 As 2.55
Pd  0.0000  0.5000  0.5000  4 Se 2.51, 2 As 2.72
Pd  0.5000  0.0000  0.5000  4 Se 2.51, 2 As 2.72
Pd  0.5000  0.5000  0.5000  6 Se 2.52-2.71
Se  0.1352  0.6703  0.2249  3 Pd 2.51-2.71, 1 As 2.70
Se  0.3297  0.8648  0.7751  3 Pd 2.51-2.71, 1 As 2.70
Se  0.3408  0.3408  0.7477  3 Pd 2.51-2.52
Se  0.6592  0.6592  0.2523  3 Pd 2.51-2.52
Se  0.6703  0.1352  0.2249  3 Pd 2.51-2.71, 1 As 2.70
Se  0.8648  0.3297  0.7751  3 Pd 2.51-2.71, 1 As 2.70

---

Entry 7:
The following is a PBE-GGA calculation of As2Pd5Se after structural relaxation, from the Alexandria database.

Output
magnetization: 0.00 μB/atom
raw total energy: -40.55 eV per formula unit
mass density: 8.71 g/cm3
ΔE_f (raw): -0.23 eV/atom

Cell lengths 6.5753, 4.1697, 21.1682 Å; angles 90.00, 90.00, 90.00 degrees
Closest atoms and distances in Å follow each position.
Atoms (fractional coordinates):
As  0.1196  0.2500  0.0879  5 Pd 2.48-2.70
As  0.1224  0.2500  0.7507  6 Pd 2.52-2.53
As  0.3776  0.7500  0.2507  6 Pd 2.52-2.53
As  0.3804  0.7500  0.5879  5 Pd 2.48-2.70
As  0.6196  0.2500  0.4121  5 Pd 2.48-2.70
As  0.6224  0.2500  0.7493  6 Pd 2.52-2.53
As  0.8776  0.7500  0.2493  6 Pd 2.52-2.53
As  0.8804  0.7500  0.9121  5 Pd 2.48-2.70
Pd  0.0885  0.7500  0.6848  3 As 2.52-2.81, 1 Se 2.53
Pd  0.1179  0.7500  0.0245  2 As 2.48
Pd  0.1300  0.7500  0.1599  4 As 2.52-2.58
Pd  0.1310  0.7500  0.4804  3 Se 2.50-2.77
Pd  0.1560  0.7500  0.8176  1 Se 2.52, 3 As 2.53-2.70
Pd  0.3440  0.2500  0.3176  1 Se 2.52, 3 As 2.53-2.70
Pd  0.3690  0.2500  0.9804  3 Se 2.50-2.77
Pd  0.3700  0.2500  0.6599  4 As 2.52-2.58
Pd  0.3821  0.2500  0.5245  2 As 2.48
Pd  0.4115  0.2500  0.1848  3 As 2.52-2.81, 1 Se 2.53
Pd  0.5885  0.7500  0.8152  3 As 2.52-2.81, 1 Se 2.53
Pd  0.6179  0.7500  0.4755  2 As 2.48
Pd  0.6300  0.7500  0.3401  4 As 2.52-2.58
Pd  0.6310  0.7500  0.0196  3 Se 2.50-2.77
Pd  0.6560  0.7500  0.6824  1 Se 2.52, 3 As 2.53-2.70
Pd  0.8440  0.2500  0.1824  1 Se 2.52, 3 As 2.53-2.70
Pd  0.8690  0.2500  0.5196  3 Se 2.50-2.77
Pd  0.8700  0.2500  0.8401  4 As 2.52-2.58
Pd  0.8821  0.2500  0.9755  2 As 2.48
Pd  0.9115  0.2500  0.3152  3 As 2.52-2.81, 1 Se 2.53
Se  0.1228  0.2500  0.4150  5 Pd 2.50-2.77
Se  0.3772  0.7500  0.9150  5 Pd 2.50-2.77
Se  0.6228  0.2500  0.0850  5 Pd 2.50-2.77
Se  0.8772  0.7500  0.5850  5 Pd 2.50-2.77

---

Entry 8:
The following is a PBE-GGA calculation of AsPd6Se3 after structural relaxation, from the Alexandria database.

Output
magnetization: 0.00 μB/atom
raw total energy: -48.09 eV per formula unit
mass density: 8.73 g/cm3
ΔE_f (raw): -0.18 eV/atom

Cell lengths 8.1152, 8.1152, 5.6204 Å; angles 90.00, 90.00, 102.43 degrees
Closest atoms and distances in Å follow each position.
Atoms (fractional coordinates):
As  0.1697  0.8303  0.5000  5 Pd 2.44-2.63
As  0.8303  0.1697  0.0000  5 Pd 2.44-2.63
Pd  0.0187  0.9813  0.1783  2 As 2.59-2.63, 4 Se 2.60-2.89, 3 Pd 2.85-2.88
Pd  0.0411  0.5428  0.6740  3 Se 2.52-2.80, 1 As 2.54
Pd  0.2437  0.7563  0.0998  1 As 2.44, 1 Se 2.64
Pd  0.3025  0.4163  0.1053  4 Se 2.50-2.71
Pd  0.4163  0.3025  0.6053  4 Se 2.50-2.71
Pd  0.4572  0.9589  0.6740  3 Se 2.52-2.80, 1 As 2.54
Pd  0.5428  0.0411  0.1740  3 Se 2.52-2.80, 1 As 2.54
Pd  0.5837  0.6975  0.1053  4 Se 2.50-2.71
Pd  0.6975  0.5837  0.6053  4 Se 2.50-2.71
Pd  0.7563  0.2437  0.5998  1 As 2.44, 1 Se 2.64
Pd  0.9589  0.4572  0.1740  3 Se 2.52-2.80, 1 As 2.54
Pd  0.9813  0.0187  0.6783  2 As 2.59-2.63, 4 Se 2.60-2.89, 3 Pd 2.85-2.88
Se  0.1105  0.2923  0.4449  5 Pd 2.52-2.62
Se  0.2923  0.1105  0.9449  5 Pd 2.52-2.62
Se  0.3887  0.6113  0.7609  7 Pd 2.50-2.80
Se  0.6113  0.3887  0.2609  7 Pd 2.50-2.80
Se  0.7077  0.8895  0.4449  5 Pd 2.52-2.62
Se  0.8895  0.7077  0.9449  5 Pd 2.52-2.62